# 1
TaInBr2 at its PBEsol-relaxed geometry, computed with SCAN.

a b c (Å): 4.865 4.865 4.865
angles (deg): 60.00 60.00 60.00
Fractional positions:
Ta 0.000 0.000 0.000
In 0.500 0.500 0.500
Br 0.250 0.250 0.250
Br 0.750 0.750 0.750

Summary:
Magnetization in μB/f.u.: 0.00
Fermi-level density of states in states/eV/atom: 0.41
ρ in Mg/m³: 9.3
ΔE_f (raw) in eV/atom: 0.7000
Distance to the lowest polymorph of the same formula in kJ/mol of atoms: 48.28
VASP energy in eV for the cell shown: -136.09

# 2
K2RbScV2O8 at its PBEsol-relaxed geometry, computed with SCAN.

a b c (Å): 5.760 5.760 7.504
angles (deg): 90.00 90.00 120.00
Fractional positions:
K 0.333 0.667 0.189
K 0.667 0.333 0.811
Rb 0.000 0.000 0.500
Sc 0.000 0.000 0.000
V 0.333 0.667 0.755
V 0.667 0.333 0.245
O 0.170 0.341 0.836
O 0.170 0.830 0.836
O 0.333 0.667 0.534
O 0.341 0.170 0.164
O 0.659 0.830 0.836
O 0.667 0.333 0.466
O 0.830 0.170 0.164
O 0.830 0.659 0.164

Summary:
Magnetization in μB/f.u.: 0.00
Fermi-level density of states in states/eV/atom: 0.00
ρ in Mg/m³: 3.4
ΔE_f (raw) in eV/atom: -2.8138
VASP energy in eV for the cell shown: -175.85

# 3
SrY3Ru at its PBEsol-relaxed geometry, computed with SCAN.

a b c (Å): 7.654 7.654 6.068
angles (deg): 90.00 90.00 120.00
Fractional positions:
Sr 0.333 0.667 0.250
Sr 0.667 0.333 0.750
Y 0.168 0.337 0.750
Y 0.168 0.832 0.750
Y 0.337 0.168 0.250
Y 0.663 0.832 0.750
Y 0.832 0.168 0.250
Y 0.832 0.663 0.250
Ru 0.000 0.000 0.000
Ru 0.000 0.000 0.500

Summary:
Magnetization in μB/f.u.: 0.69
Fermi-level density of states in states/eV/atom: 0.74
ρ in Mg/m³: 4.9
ΔH_f (0 K) in eV per formula unit: -1.18
VASP energy in eV for the cell shown: -283.63

# 4
TlTcPt at its PBEsol-relaxed geometry, computed with SCAN.

a b c (Å): 6.359 6.359 6.359
angles (deg): 153.60 153.60 37.68
Fractional positions:
Tl 0.000 0.000 0.000
Tc 0.323 0.323 0.000
Pt 0.686 0.686 0.000

Summary:
Magnetization in μB/f.u.: 0.00
Fermi-level density of states in states/eV/atom: 0.35
ρ in Mg/m³: 16.3
ΔH_f (0 K) in eV per formula unit: 0.95
VASP energy in eV for the cell shown: -176.66

# 5
BeMo2Rh at its PBEsol-relaxed geometry, computed with SCAN.

a b c (Å): 4.525 4.525 4.754
angles (deg): 96.71 96.71 33.99
Fractional positions:
Be 0.000 0.000 0.000
Mo 0.252 0.252 0.772
Mo 0.486 0.486 0.495
Rh 0.737 0.737 0.238

Summary:
Magnetization in μB/f.u.: 0.00
Fermi-level density of states in states/eV/atom: 0.51
ρ in Mg/m³: 9.3
ΔH_f (0 K) in eV per formula unit: 0.04
VASP energy in eV for the cell shown: -107.85

# 6
NaTi2AgTe at its PBEsol-relaxed geometry, computed with SCAN.

a b c (Å): 4.888 4.888 5.051
angles (deg): 90.00 90.00 90.00
Fractional positions:
Na 0.000 0.000 0.000
Ti 0.000 0.500 0.500
Ti 0.500 0.000 0.500
Ag 0.000 0.000 0.500
Te 0.500 0.500 0.000

Summary:
Magnetization in μB/f.u.: 3.55
Fermi-level density of states in states/eV/atom: 0.68
ρ in Mg/m³: 4.9
ΔE_f (raw) in eV/atom: 0.5218
VASP energy in eV for the cell shown: -102.28

# 7
HgSe2BrF at its PBEsol-relaxed geometry, computed with SCAN.

a b c (Å): 5.267 5.267 5.301
angles (deg): 90.00 90.00 90.00
Fractional positions:
Hg 0.000 0.000 0.000
Se 0.000 0.500 0.000
Se 0.500 0.000 0.000
Br 0.000 0.000 0.500
F 0.500 0.500 0.500

Summary:
Magnetization in μB/f.u.: 3.41
Fermi-level density of states in states/eV/atom: 0.54
ρ in Mg/m³: 5.2
ΔE_f (raw) in eV/atom: 0.5145
VASP energy in eV for the cell shown: -128.75

# 8
SrCr4Sb at its PBEsol-relaxed geometry, computed with SCAN.

a b c (Å): 5.093 5.093 5.093
angles (deg): 60.00 60.00 60.00
Fractional positions:
Sr 0.000 0.000 0.000
Cr 0.134 0.622 0.622
Cr 0.622 0.134 0.622
Cr 0.622 0.622 0.134
Cr 0.622 0.622 0.622
Sb 0.250 0.250 0.250

Summary:
Magnetization in μB/f.u.: 0.00
Fermi-level density of states in states/eV/atom: 1.24
ρ in Mg/m³: 7.4
ΔE_f (raw) in eV/atom: 0.8131
VASP energy in eV for the cell shown: -128.20

# 9
RbSnSeN2 at its PBEsol-relaxed geometry, computed with SCAN.

a b c (Å): 4.420 4.420 5.364
angles (deg): 90.00 90.00 90.00
Fractional positions:
Rb 0.000 0.000 0.000
Sn 0.500 0.500 0.500
Se 0.500 0.500 0.000
N 0.000 0.500 0.500
N 0.500 0.000 0.500

Summary:
Magnetization in μB/f.u.: 3.09
Fermi-level density of states in states/eV/atom: 0.30
ρ in Mg/m³: 4.9
ΔE_f (raw) in eV/atom: 0.7070
VASP energy in eV for the cell shown: -91.79

# 10
TaCu2Pb at its PBEsol-relaxed geometry, computed with SCAN.

a b c (Å): 3.057 3.057 7.229
angles (deg): 90.00 90.00 90.00
Fractional positions:
Ta 0.000 0.000 0.000
Cu 0.500 0.500 0.223
Cu 0.500 0.500 0.777
Pb 0.000 0.000 0.500

Summary:
Magnetization in μB/f.u.: 0.00
Fermi-level density of states in states/eV/atom: 0.39
ρ in Mg/m³: 12.7
ΔH_f (0 K) in eV per formula unit: 1.33
VASP energy in eV for the cell shown: -171.43

# 11
MnCuMoSe2 at its PBEsol-relaxed geometry, computed with SCAN.

a b c (Å): 4.786 4.786 4.753
angles (deg): 90.00 90.00 90.00
Fractional positions:
Mn 0.000 0.000 0.000
Cu 0.500 0.500 0.000
Mo 0.000 0.000 0.500
Se 0.000 0.500 0.500
Se 0.500 0.000 0.500

Summary:
Magnetization in μB/f.u.: 3.38
Fermi-level density of states in states/eV/atom: 0.48
ρ in Mg/m³: 5.7
ΔE_f (raw) in eV/atom: 0.6942
VASP energy in eV for the cell shown: -105.03

# 12
SrLa2TcN at its PBEsol-relaxed geometry, computed with SCAN.

a b c (Å): 5.117 5.117 5.655
angles (deg): 90.00 90.00 90.00
Fractional positions:
Sr 0.000 0.000 0.000
La 0.000 0.500 0.500
La 0.500 0.000 0.500
Tc 0.000 0.000 0.500
N 0.500 0.500 0.000

Summary:
Magnetization in μB/f.u.: 0.00
Fermi-level density of states in states/eV/atom: 0.51
ρ in Mg/m³: 5.4
ΔE_f (raw) in eV/atom: 0.7921
VASP energy in eV for the cell shown: -148.88